Below is a relaxed structure of Cs2SmCo2O6, with properties calculated at the PBE+U level.

Output
- Total magnetization: 0.820 μB per atom
- Total energy: -63.77 eV/cell
- SG: No. 166

a = 7.018 Å, b = 7.018 Å, c = 7.018 Å
α = 53.38°, β = 53.38°, γ = 53.38°
Atoms (fractional coordinates):
1 Cs 0.223 0.223 0.223
2 Cs 0.777 0.777 0.777
3 Sm 0.000 0.000 0.000
4 Co 0.426 0.426 0.426
5 Co 0.574 0.574 0.574
6 O 0.251 0.251 0.726
7 O 0.251 0.726 0.251
8 O 0.274 0.749 0.749
9 O 0.726 0.251 0.251
10 O 0.749 0.274 0.749
11 O 0.749 0.749 0.274